PBE-GGA K2Mo2S, relaxed; formation energy without anion corrections = 1.509 eV per atom; uncorrected energy = -4.09 eV/atom
1.0
4.421 0.000 0.000
0.000 4.421 0.000
0.000 0.000 15.735
K Mo S
4 4 2
direct
0.000 0.500 0.250
0.000 0.500 0.750
0.500 0.000 0.250
0.500 0.000 0.750
0.000 0.000 0.063
0.000 0.000 0.937
0.500 0.500 0.437
0.500 0.500 0.563
0.000 0.000 0.500
0.500 0.500 0.000

---

PBE-GGA RbTi2O4, relaxed; formation energy without anion corrections = -2.521 eV per atom; uncorrected energy = -7.75 eV/atom
1.0
0.000 6.056 3.678
4.793 0.000 3.678
4.793 6.056 0.000
Rb Ti O
2 4 8
direct
0.000 0.000 0.000
0.250 0.250 0.250
0.037 0.647 0.641
0.575 0.609 0.603
0.609 0.575 0.213
0.647 0.037 0.675
0.286 0.429 0.463
0.400 0.778 0.464
0.428 0.787 0.821
0.429 0.286 0.822
0.778 0.400 0.358
0.786 0.892 0.850
0.787 0.428 0.964
0.892 0.786 0.472

---

PBE-GGA Tm2SbSe, relaxed; formation energy without anion corrections = -1.367 eV per atom; uncorrected energy = -5.50 eV/atom
1.0
4.191 0.000 0.000
-2.096 3.630 0.000
0.000 0.000 20.405
Tm Sb Se
6 3 3
direct
0.000 0.000 0.246
0.000 0.000 0.754
0.333 0.667 0.421
0.333 0.667 0.912
0.667 0.333 0.088
0.667 0.333 0.579
0.000 0.000 0.000
0.333 0.667 0.667
0.667 0.333 0.333
0.000 0.000 0.500
0.333 0.667 0.167
0.667 0.333 0.833

---

PBE-GGA Zr2ReTc, relaxed; uncorrected energy = -10.06 eV/atom
1.0
6.556 0.000 0.000
0.000 6.556 0.000
0.000 0.000 6.556
Zr Re Tc
8 4 4
direct
0.000 0.000 0.000
0.000 0.500 0.500
0.250 0.250 0.250
0.250 0.750 0.750
0.500 0.000 0.500
0.500 0.500 0.000
0.750 0.250 0.750
0.750 0.750 0.250
0.000 0.000 0.500
0.000 0.500 0.000
0.500 0.000 0.000
0.500 0.500 0.500
0.250 0.250 0.750
0.250 0.750 0.250
0.750 0.250 0.250
0.750 0.750 0.750

---

PBE-GGA BaAgPt2, relaxed; uncorrected energy = -4.25 eV/atom
1.0
4.430 0.000 0.000
0.000 4.430 0.000
0.000 0.000 8.978
Ba Ag Pt
2 2 4
direct
0.000 0.000 0.000
0.500 0.500 0.500
0.000 0.500 0.250
0.500 0.000 0.750
0.000 0.000 0.500
0.000 0.500 0.750
0.500 0.000 0.250
0.500 0.500 0.000

---

PBE-GGA Tb4ZnCu, relaxed; uncorrected energy = -3.94 eV/atom
1.0
4.899 0.000 0.000
0.000 4.899 0.000
0.000 0.000 6.981
Tb Zn Cu
4 1 1
direct
0.000 0.500 0.244
0.000 0.500 0.756
0.500 0.000 0.244
0.500 0.000 0.756
0.000 0.000 0.500
0.500 0.500 0.000

---

Number 1: N(E_F) 6.10 states/eV per cell. Number 2: N(E_F) 2.71 states/eV per cell. Number 3: N(E_F) 5.69 states/eV per cell. Number 4: N(E_F) 19.41 states/eV per cell. Number 5: N(E_F) 5.76 states/eV per cell. Number 6: N(E_F) 7.53 states/eV per cell.